No. 1
Here is CaPr8Ho2 after structural relaxation from Alexandria. Energies are from PBE.

Structure (extended XYZ):
```
11
Lattice="-2.869 4.298 8.098 2.869 -4.298 8.098 2.869 4.298 -8.098" Properties=species:S:1:pos:R:3 pbc="T T T"
Ca 0.000 0.000 0.000
Pr 2.869 -1.722 5.779
Pr 2.869 0.000 2.609
Pr 2.869 2.643 0.000
Pr 0.000 2.577 2.318
Pr 2.869 1.722 5.779
Pr 0.000 1.656 8.098
Pr 0.000 4.298 5.489
Pr 0.000 6.020 2.318
Ho 0.000 0.000 4.818
Ho 0.000 0.000 11.377
```

---

No. 2
Here is CaPr4Ho2 after structural relaxation from Alexandria. Energies are from PBE.

Structure (extended XYZ):
```
7
Lattice="1.832 1.058 21.179 -1.832 1.058 21.179 0.000 -2.116 21.179" Properties=species:S:1:pos:R:3 pbc="T T T"
Ca 0.000 0.000 0.000
Pr 0.000 0.000 9.060
Pr 0.000 0.000 17.928
Pr 0.000 0.000 45.608
Pr 0.000 0.000 54.476
Ho 0.000 0.000 27.289
Ho 0.000 0.000 36.247
```

---

No. 3
Here is CaPrHo14 after structural relaxation from Alexandria. Energies are from PBE.

Structure (extended XYZ):
```
16
Lattice="7.106 0.000 0.000 0.000 7.106 0.000 0.000 0.000 10.030" Properties=species:S:1:pos:R:3 pbc="T T T"
Ca 0.000 0.000 0.000
Pr 3.553 3.553 0.000
Ho 0.000 0.000 5.015
Ho 0.000 3.553 0.000
Ho 0.000 3.553 5.015
Ho 1.796 1.796 2.562
Ho 1.796 1.796 7.468
Ho 1.796 5.310 2.562
Ho 1.796 5.310 7.468
Ho 3.553 0.000 0.000
Ho 3.553 0.000 5.015
Ho 3.553 3.553 5.015
Ho 5.310 1.796 2.562
Ho 5.310 1.796 7.468
Ho 5.310 5.310 2.562
Ho 5.310 5.310 7.468
```

---

Taking the records one at a time from the top gives magnetization values of 0.00, 0.00, 0.00 μB per formula unit.
Taking the records one at a time from the top gives energy of formation values of 138, 23, 40 meV/atom.